Record 1
# Pm7Sn4Hg, relaxed, DFT PBE
data_Pm7Sn4Hg
_chemical_formula_sum 'Pm14 Sn8 Hg2'
_space_group_name_H-M_alt 'C 1 2/m 1'
_space_group_IT_number 12
_space_group_name_Hall '-C 2y'
_cell_length_a 15.211
_cell_length_b 5.700
_cell_length_c 11.277
_cell_angle_alpha 90.00
_cell_angle_beta 126.94
_cell_angle_gamma 90.00
loop_
_atom_site_label
_atom_site_fract_x
_atom_site_fract_y
_atom_site_fract_z
Pm1 0.000 0.000 0.000
Pm2 0.080 0.500 0.324
Pm3 0.151 0.000 0.574
Pm4 0.206 0.500 0.865
Sn1 0.077 0.000 0.783
Sn2 0.214 0.000 0.336
Hg1 0.000 0.500 0.000
# Energy (eV per atom): -4.551
# ΔE_f (kJ/mol of atoms): -40.6
# DOS at the Fermi energy (states/eV per atom): 0.974

Record 2
# Pu2PbBr6, relaxed, DFT PBE
data_Pu2PbBr6
_chemical_formula_sum 'Pu4 Pb2 Br12'
_space_group_name_H-M_alt 'C 1 2/m 1'
_space_group_IT_number 12
_space_group_name_Hall '-C 2y'
_cell_length_a 15.604
_cell_length_b 4.313
_cell_length_c 10.284
_cell_angle_alpha 90.00
_cell_angle_beta 103.76
_cell_angle_gamma 90.00
loop_
_atom_site_label
_atom_site_fract_x
_atom_site_fract_y
_atom_site_fract_z
Pu1 0.166 0.000 0.344
Pb1 0.000 0.500 0.000
Br1 0.030 0.500 0.311
Br2 0.145 0.000 0.046
Br3 0.199 0.000 0.640
# Uncorrected formation energy (meV/atom): -1246
# Energy (eV per atom): -5.958
# DOS at the Fermi energy (states/eV per atom): 2.667

Record 3
# YAg2Pd9, relaxed, DFT PBE
data_YAg2Pd9
_chemical_formula_sum 'Y1 Ag2 Pd9'
_space_group_name_H-M_alt 'P 4/m m m'
_space_group_IT_number 123
_space_group_name_Hall '-P 4 2'
_cell_length_a 4.057
_cell_length_b 4.057
_cell_length_c 12.068
_cell_angle_alpha 90.00
_cell_angle_beta 90.00
_cell_angle_gamma 90.00
loop_
_atom_site_label
_atom_site_fract_x
_atom_site_fract_y
_atom_site_fract_z
Y1 0.000 0.000 0.000
Ag1 0.000 0.000 0.338
Pd1 0.000 0.500 0.174
Pd2 0.000 0.500 0.500
Pd3 0.500 0.500 0.000
Pd4 0.500 0.500 0.336
# Energy (eV per atom): -5.189
# ΔE_f (kJ/mol of atoms): -27.1
# DOS at the Fermi energy (states/eV per atom): 1.024

Record 4
# Ho3ErCd4, relaxed, DFT PBE
data_Ho3ErCd4
_chemical_formula_sum 'Ho6 Er2 Cd8'
_space_group_name_H-M_alt 'P m m a'
_space_group_IT_number 51
_space_group_name_Hall '-P 2a 2a'
_cell_length_a 10.493
_cell_length_b 7.504
_cell_length_c 5.248
_cell_angle_alpha 90.00
_cell_angle_beta 90.00
_cell_angle_gamma 90.00
loop_
_atom_site_label
_atom_site_fract_x
_atom_site_fract_y
_atom_site_fract_z
Ho1 0.000 0.000 0.000
Ho2 0.250 0.000 0.499
Ho3 0.250 0.500 0.499
Er1 0.000 0.500 0.000
Cd1 0.000 0.251 0.500
Cd2 0.250 0.251 0.999
# Energy (eV per atom): -3.063
# ΔE_f (kJ/mol of atoms): -30.7
# DOS at the Fermi energy (states/eV per atom): 0.982

Record 5
# Ca3YAs, relaxed, DFT PBE
data_Ca3YAs
_chemical_formula_sum 'Ca3 Y1 As1'
_space_group_name_H-M_alt 'P m -3 m'
_space_group_IT_number 221
_space_group_name_Hall '-P 4 2 3'
_cell_length_a 5.689
_cell_length_b 5.689
_cell_length_c 5.689
_cell_angle_alpha 90.00
_cell_angle_beta 90.00
_cell_angle_gamma 90.00
loop_
_atom_site_label
_atom_site_fract_x
_atom_site_fract_y
_atom_site_fract_z
Ca1 0.000 0.000 0.500
Y1 0.500 0.500 0.500
As1 0.000 0.000 0.000
# Energy above the lowest structure with this stoichiometry (eV/atom): 0.000
# Energy (eV per atom): -3.695
# ΔE_f (kJ/mol of atoms): -26.2
# DOS at the Fermi energy (states/eV per atom): 0.277

Record 6
# Na2ZrPdO4, relaxed, DFT PBE
data_Na2ZrPdO4
_chemical_formula_sum 'Na4 Zr2 Pd2 O8'
_space_group_name_H-M_alt 'I -4'
_space_group_IT_number 82
_space_group_name_Hall 'I -4'
_cell_length_a 5.910
_cell_length_b 5.910
_cell_length_c 6.322
_cell_angle_alpha 90.00
_cell_angle_beta 90.00
_cell_angle_gamma 90.00
loop_
_atom_site_label
_atom_site_fract_x
_atom_site_fract_y
_atom_site_fract_z
Na1 0.000 0.000 0.000
Na2 0.000 0.500 0.250
Zr1 0.000 0.000 0.500
Pd1 0.000 0.500 0.750
O1 0.168 0.199 0.709
# Uncorrected formation energy (meV/atom): -1838
# Energy (eV per atom): -6.364

Calculated M_tot, 0.00, 24.01, 0.00, 0.00, 0.00, 0.00 Bohr magnetons per cell (same order as the records).